Record 1
Compound: Pm3Y2Te5
Source: Alexandria
Functional: PBE
Structure: optimized geometry

Its space-group type is No. 12. The value obtained for the calculated total energy is -5.661 eV/atom. The value obtained for the mass density is 6.8 Mg/m³.

Cell lengths 4.421, 7.683, 9.887 Å; angles 97.49, 77.08, 73.28 degrees
Element x y z (fractional)
Pm 0.901 0.894 0.305
Pm 0.500 0.500 0.500
Pm 0.099 0.106 0.695
Te 0.796 0.801 0.607
Te 0.609 0.590 0.192
Te 0.204 0.199 0.393
Te 0.000 0.000 0.000
Te 0.391 0.410 0.808
Y 0.697 0.706 0.900
Y 0.303 0.294 0.100

Record 2
Compound: BaAl2Cd
Source: Alexandria
Functional: PBE
Structure: optimized geometry

Its space-group type is No. 141. The value obtained for the mass density is 3.9 Mg/m³. The formation energy comes out at -0.0174 eV/atom.

Cell lengths 5.266, 5.266, 10.145 Å; angles 74.96, 74.96, 90.00 degrees
Element x y z (fractional)
Al 0.875 0.625 0.750
Al 0.375 0.625 0.750
Al 0.375 0.125 0.250
Al 0.375 0.625 0.250
Ba 0.000 0.000 0.000
Ba 0.750 0.250 0.500
Cd 0.250 0.750 0.500
Cd 0.500 0.500 0.000